--- one ---
The following is a PBE-GGA calculation of an optimized crystal structure of PmGaPt4, from the Alexandria database.

a = 7.6281 Å, b = 4.0477 Å, c = 7.0129 Å
α = 90.00°, β = 90.00°, γ = 90.00°
Fractional positions:
Pm: 0.2500 0.0000 0.1432
Pm: 0.7500 0.0000 0.8568
Ga: 0.2500 0.0000 0.7255
Ga: 0.7500 0.0000 0.2745
Pt: 0.0000 0.0000 0.5000
Pt: 0.0495 0.5000 0.8066
Pt: 0.2500 0.5000 0.4538
Pt: 0.4505 0.5000 0.8066
Pt: 0.5000 0.0000 0.5000
Pt: 0.5495 0.5000 0.1934
Pt: 0.7500 0.5000 0.5462
Pt: 0.9505 0.5000 0.1934

## Properties
Theoretical density: 15.26 g cm⁻³
N(E_F): 6.7 states/eV/cell
Symmetry: Pmma, No. 51
Magnetic moment: 0.0 μB per formula unit

=====

--- two ---
The following is a PBE-GGA calculation of an optimized crystal structure of PmGaPt4, from the Alexandria database.

a = 10.1536 Å, b = 10.1536 Å, c = 5.5707 Å
α = 90.00°, β = 90.00°, γ = 155.35°
Fractional positions:
Pm: 0.1015 0.8985 0.7500
Pm: 0.8985 0.1015 0.2500
Ga: 0.3982 0.6018 0.7500
Ga: 0.6018 0.3982 0.2500
Pt: 0.1687 0.8313 0.2500
Pt: 0.2935 0.7065 0.0080
Pt: 0.2935 0.7065 0.4920
Pt: 0.5000 0.5000 0.0000
Pt: 0.5000 0.5000 0.5000
Pt: 0.7065 0.2935 0.5080
Pt: 0.7065 0.2935 0.9920
Pt: 0.8313 0.1687 0.7500

## Properties
Theoretical density: 13.79 g cm⁻³
N(E_F): 7.5 states/eV/cell
Symmetry: Cmcm, No. 63
Magnetic moment: 0.0 μB per formula unit

=====

one is the most stable structure; the next one sits 11.1 kJ/mol of atoms above it.